Compound: ErTm3Au4
Source: Alexandria
Functional: PBE
Structure: relaxed

Lattice parameters (Å, degrees): 3.5256 5.0506 10.1025 90.00 90.00 90.00
Sites, in units of the cell vectors:
Tm: 0.5000 0.0000 0.2504
Tm: 0.5000 0.5000 0.5000
Tm: 0.5000 0.0000 0.7496
Au: 0.0000 0.0000 0.5000
Au: 0.0000 0.5000 0.7486
Au: 0.0000 0.0000 0.0000
Au: 0.0000 0.5000 0.2514
Er: 0.5000 0.5000 0.0000

**Crystal system**: orthorhombic
**D(E_F)**: 3.665 states/eV per cell
**VASP energy**: -4.774 eV per atom
**Energy of formation**: -20.48 kcal/mol of atoms
**Space group**: Pmmm (47)